VASP calculation (PBE) on ZnTc2Rh after structural relaxation.

As for the total magnetization: 0.00 Bohr magnetons per cell. For the electronic total energy, the calculation gives -29.50 eV/cell.

The structure belongs to space group Pmm2 (No. 25); the cell edges are 2.745, 3.874 and 5.379 Å and the angles 90.00°, 90.00° and 90.00°. The asymmetric unit holds Zn at (0.000, 0.000, 0.000), Tc at (0.000, 0.000, 0.505), Tc at (0.500, 0.500, 0.733) and Rh at (0.500, 0.500, 0.222).